Density functional theory data (PBE-GGA) for a relaxed structure of TcGeSCl2.

abc: 4.9434 4.9434 4.9390
angles: 90.00 90.00 90.00
Last column: nearest neighbours and their distance in Å.
Space group P4/mmm (No. 123)
Unique sites:
Tc 0.0000 0.0000 0.0000 (multiplicity 1)  8 Cl 3.49, 4 S 3.50
Ge 0.5000 0.5000 0.5000 (multiplicity 1)  2 S 2.47, 4 Cl 2.47
S 0.5000 0.5000 0.0000 (multiplicity 1)  2 Ge 2.47
Cl 0.0000 0.5000 0.5000 (multiplicity 2)  2 Ge 2.47

- ΔE_f (raw): 0.5270 eV per atom
- Polymorph energy (0 for the lowest one): 350 meV per atom

Density functional theory data (PBE-GGA) for a relaxed structure of GeTeS2Cl.

abc: 5.1792 5.1792 5.0575
angles: 90.00 90.00 90.00
Last column: nearest neighbours and their distance in Å.
Space group P4/mmm (No. 123)
Unique sites:
Ge 0.0000 0.0000 0.0000 (multiplicity 1)  8 S 3.62, 4 Cl 3.66
Te 0.5000 0.5000 0.5000 (multiplicity 1)  2 Cl 2.53, 4 S 2.59
S 0.0000 0.5000 0.5000 (multiplicity 2)  2 Te 2.59
Cl 0.5000 0.5000 0.0000 (multiplicity 1)  2 Te 2.53

- ΔE_f (raw): 0.4359 eV per atom
- Polymorph energy (0 for the lowest one): 178 meV per atom

Density functional theory data (PBE-GGA) for a relaxed structure of GeTeSCl2.

abc: 5.2414 5.2414 5.3145
angles: 90.00 90.00 90.00
Last column: nearest neighbours and their distance in Å.
Space group P4/mmm (No. 123)
Unique sites:
Ge 0.0000 0.0000 0.0000 (multiplicity 1)  4 S 3.71, 8 Cl 3.73
Te 0.5000 0.5000 0.5000 (multiplicity 1)  4 Cl 2.62, 2 S 2.66
S 0.5000 0.5000 0.0000 (multiplicity 1)  2 Te 2.66
Cl 0.0000 0.5000 0.5000 (multiplicity 2)  2 Te 2.62

- ΔE_f (raw): 0.3305 eV per atom
- Polymorph energy (0 for the lowest one): 248 meV per atom

Density functional theory data (PBE-GGA) for a relaxed structure of GeTeSCl2.

abc: 4.8581 4.8581 5.2477
angles: 90.00 90.00 90.00
Last column: nearest neighbours and their distance in Å.
Space group P4/mmm (No. 123)
Unique sites:
Ge 0.0000 0.0000 0.0000 (multiplicity 1)  4 Cl 2.43, 2 S 2.62
Te 0.5000 0.5000 0.5000 (multiplicity 1)  4 S 3.44, 8 Cl 3.58
S 0.0000 0.0000 0.5000 (multiplicity 1)  2 Ge 2.62
Cl 0.0000 0.5000 0.0000 (multiplicity 2)  2 Ge 2.43

- ΔE_f (raw): 0.0823 eV per atom
- Polymorph energy (0 for the lowest one): 0 meV per atom

Density functional theory data (PBE-GGA) for a relaxed structure of GeTeS2Cl.

abc: 4.8787 4.8787 4.7068
angles: 90.00 90.00 90.00
Last column: nearest neighbours and their distance in Å.
Space group P4/mmm (No. 123)
Unique sites:
Ge 0.0000 0.0000 0.0000 (multiplicity 1)  2 Cl 2.35, 4 S 2.44
Te 0.5000 0.5000 0.5000 (multiplicity 1)  8 S 3.39, 4 Cl 3.45
S 0.0000 0.5000 0.0000 (multiplicity 2)  2 Ge 2.44
Cl 0.0000 0.0000 0.5000 (multiplicity 1)  2 Ge 2.35

- ΔE_f (raw): 0.2584 eV per atom
- Polymorph energy (0 for the lowest one): 0 meV per atom

Density functional theory data (PBE-GGA) for a relaxed structure of TiGeSCl2.

abc: 4.9137 4.9137 4.9768
angles: 90.00 90.00 90.00
Last column: nearest neighbours and their distance in Å.
Space group P4/mmm (No. 123)
Unique sites:
Ti 0.0000 0.0000 0.0000 (multiplicity 1)  4 S 3.47, 8 Cl 3.50
Ge 0.5000 0.5000 0.5000 (multiplicity 1)  4 Cl 2.46, 2 S 2.49
S 0.5000 0.5000 0.0000 (multiplicity 1)  2 Ge 2.49
Cl 0.0000 0.5000 0.5000 (multiplicity 2)  2 Ge 2.46

- ΔE_f (raw): 0.1275 eV per atom
- Polymorph energy (0 for the lowest one): 658 meV per atom

Density functional theory data (PBE-GGA) for a relaxed structure of TiGe2SCl.

abc: 5.0628 5.0628 4.5559
angles: 90.00 90.00 90.00
Last column: nearest neighbours and their distance in Å.
Space group P4/mmm (No. 123)
Unique sites:
Ti 0.0000 0.0000 0.0000 (multiplicity 1)  2 S 2.28
Ge 0.0000 0.5000 0.5000 (multiplicity 2)  2 S 2.53
S 0.0000 0.0000 0.5000 (multiplicity 1)  2 Ti 2.28, 4 Ge 2.53
Cl 0.5000 0.5000 0.0000 (multiplicity 1)  8 Ge 3.41, 4 Ti 3.58

- ΔE_f (raw): 0.2986 eV per atom

Density functional theory data (PBE-GGA) for a relaxed structure of TiGeSCl2.

abc: 4.8051 4.8051 4.8579
angles: 90.00 90.00 90.00
Last column: nearest neighbours and their distance in Å.
Space group P4/mmm (No. 123)
Unique sites:
Ti 0.0000 0.0000 0.0000 (multiplicity 1)  4 Cl 2.40, 2 S 2.43
Ge 0.5000 0.5000 0.5000 (multiplicity 1)  4 S 3.40, 8 Cl 3.42
S 0.0000 0.0000 0.5000 (multiplicity 1)  2 Ti 2.43
Cl 0.0000 0.5000 0.0000 (multiplicity 2)  2 Ti 2.40

- ΔE_f (raw): -0.5308 eV per atom
- Polymorph energy (0 for the lowest one): 0 meV per atom

Density functional theory data (PBE-GGA) for a relaxed structure of Tl5GeS4Cl2.

abc: 8.9652 10.0444 8.2393
angles: 90.00 90.00 90.00
Last column: nearest neighbours and their distance in Å.
Space group Amm2 (No. 38)
Unique sites:
Tl 0.0000 0.0000 0.0000 (multiplicity 2)  2 S 2.86, 2 Cl 2.89
Tl 0.2662 0.1817 0.4886 (multiplicity 8)  3 S 3.05-3.34, 2 Cl 3.22-3.29
Ge 0.5000 0.0000 0.9198 (multiplicity 2)  4 S 2.21-2.28
S 0.3064 0.0000 0.0984 (multiplicity 4)  1 Ge 2.28
S 0.5000 0.1850 0.7747 (multiplicity 4)  1 Ge 2.21
Cl 0.0000 0.2103 0.7606 (multiplicity 4)  3 Tl 2.89-3.22

- ΔE_f (raw): -0.5290 eV per atom

Density functional theory data (PBE-GGA) for a relaxed structure of TlGeSCl2.

abc: 5.2945 5.2945 5.1934
angles: 90.00 90.00 90.00
Last column: nearest neighbours and their distance in Å.
Space group P4/mmm (No. 123)
Unique sites:
Tl 0.0000 0.0000 0.0000 (multiplicity 1)  2 S 2.60, 4 Cl 2.65
Ge 0.5000 0.5000 0.5000 (multiplicity 1)  8 Cl 3.71, 4 S 3.74
S 0.0000 0.0000 0.5000 (multiplicity 1)  2 Tl 2.60
Cl 0.0000 0.5000 0.0000 (multiplicity 2)  2 Tl 2.65

- ΔE_f (raw): 0.1591 eV per atom
- Polymorph energy (0 for the lowest one): 683 meV per atom

Density functional theory data (PBE-GGA) for a relaxed structure of TlGeSCl2.

abc: 5.2504 5.2504 4.6723
angles: 90.00 90.00 90.00
Last column: nearest neighbours and their distance in Å.
Space group P4/mmm (No. 123)
Unique sites:
Tl 0.0000 0.0000 0.0000 (multiplicity 1)  8 Cl 3.51, 4 S 3.71
Ge 0.5000 0.5000 0.5000 (multiplicity 1)  2 S 2.34
S 0.5000 0.5000 0.0000 (multiplicity 1)  2 Ge 2.34
Cl 0.0000 0.5000 0.5000 (multiplicity 2)  2 Ge 2.63

- ΔE_f (raw): -0.5240 eV per atom
- Polymorph energy (0 for the lowest one): 0 meV per atom

Density functional theory data (PBE-GGA) for a relaxed structure of GeWS2Cl.

abc: 4.6724 4.6724 4.8993
angles: 90.00 90.00 90.00
Last column: nearest neighbours and their distance in Å.
Space group P4/mmm (No. 123)
Unique sites:
Ge 0.0000 0.0000 0.0000 (multiplicity 1)  4 Cl 3.30, 8 S 3.39
W 0.5000 0.5000 0.5000 (multiplicity 1)  4 S 2.34, 2 Cl 2.45
S 0.0000 0.5000 0.5000 (multiplicity 2)  2 W 2.34
Cl 0.5000 0.5000 0.0000 (multiplicity 1)  2 W 2.45

- ΔE_f (raw): 0.2192 eV per atom
- Polymorph energy (0 for the lowest one): 0 meV per atom